First-principles (PBE with a Hubbard U) data for a relaxed structure of KVSnO5, as listed in Alexandria via LeMat-Bulk.

a = 6.0448 Å, b = 6.0448 Å, c = 7.4728 Å
α = 104.25°, β = 104.25°, γ = 106.30°
With the nearest neighbours (Å) after each atom.
Fractional positions:
K 0.1652 0.8348 0.7500  7 O 2.56-2.83
K 0.8348 0.1652 0.2500  7 O 2.56-2.83
V 0.1870 0.8130 0.2500  4 O 1.75
V 0.8130 0.1870 0.7500  4 O 1.75
Sn 0.5000 0.5000 0.0000  6 O 1.99-2.18
Sn 0.5000 0.5000 0.5000  6 O 1.99-2.18
O 0.1138 0.2710 0.9043  1 V 1.75
O 0.2061 0.6149 0.3844  1 V 1.75
O 0.2710 0.1138 0.4043  1 V 1.75
O 0.3851 0.7939 0.1156  1 V 1.75
O 0.4299 0.5701 0.7500  2 Sn 1.99
O 0.5701 0.4299 0.2500  2 Sn 1.99
O 0.6149 0.2061 0.8844  1 V 1.75
O 0.7290 0.8862 0.5957  1 V 1.75
O 0.7939 0.3851 0.6156  1 V 1.75
O 0.8862 0.7290 0.0957  1 V 1.75

Calculated values
For the total energy, the calculation gives -6.50 eV/atom. The symmetry is No. 15. Its crystal system is monoclinic.